No. 1
# Ga2IrRu

A geometry-optimized Ga2IrRu structure (PBE, the Alexandria database).

Cell lengths 6.077, 6.077, 6.077 Å; angles 90.00, 90.00, 90.00 degrees
Fractional positions:
Ga 0.250 0.250 0.250
Ga 0.250 0.250 0.750
Ga 0.250 0.750 0.250
Ga 0.250 0.750 0.750
Ga 0.750 0.250 0.250
Ga 0.750 0.250 0.750
Ga 0.750 0.750 0.250
Ga 0.750 0.750 0.750
Ir 0.000 0.000 0.000
Ir 0.000 0.500 0.500
Ir 0.500 0.000 0.500
Ir 0.500 0.500 0.000
Ru 0.000 0.000 0.500
Ru 0.000 0.500 0.000
Ru 0.500 0.000 0.000
Ru 0.500 0.500 0.500

=====

No. 2
# SrLiNd

A geometry-optimized SrLiNd structure (PBE, the Alexandria database).

Cell lengths 5.868, 5.868, 3.657 Å; angles 90.00, 90.00, 120.00 degrees
Fractional positions:
Sr 0.000 0.000 0.000
Li 0.333 0.667 0.214
Nd 0.667 0.333 0.576

Relative energy among the computed polymorphs (meV per atom): 82

=====

No. 3
# ReNiB2

A geometry-optimized ReNiB2 structure (PBE, the Alexandria database).

Cell lengths 5.302, 5.302, 5.302 Å; angles 90.00, 90.00, 90.00 degrees
Fractional positions:
Re 0.000 0.000 0.000
Re 0.000 0.500 0.500
Re 0.500 0.000 0.500
Re 0.500 0.500 0.000
Ni 0.000 0.000 0.500
Ni 0.000 0.500 0.000
Ni 0.500 0.000 0.000
Ni 0.500 0.500 0.500
B 0.250 0.250 0.250
B 0.250 0.250 0.750
B 0.250 0.750 0.250
B 0.250 0.750 0.750
B 0.750 0.250 0.250
B 0.750 0.250 0.750
B 0.750 0.750 0.250
B 0.750 0.750 0.750

Relative energy among the computed polymorphs (meV per atom): 0

=====

For each record above, in turn, the calculated electronic total energy values are -6.455; -2.553; -7.673 eV per atom.
For each record above, in turn, the calculated spin magnetization values are 0.0; 0.0; 0.0 Bohr magnetons per cell.
For each record above, in turn, the calculated calculated formation energy values are -0.407; 0.235; 0.223 eV/atom.